BaDyZnS3 after structural relaxation. Source: OQMD via LeMat-Bulk, functional PBE.

Calculated values
- total magnetization (μB/f.u.) = 0.0
- final energy (eV per atom) = -4.89

Structure (CIF):
```
data_BaDyZnS3
_chemical_formula_sum 'Ba4 Dy4 Zn4 S12'
_cell_length_a 4.118
_cell_length_b 13.695
_cell_length_c 10.329
_cell_angle_alpha 90.00
_cell_angle_beta 90.00
_cell_angle_gamma 90.00
_space_group_name_H-M_alt 'C m c m'
_space_group_IT_number 63
_space_group_name_Hall '-C 2c 2'
loop_
_atom_site_label
_atom_site_fract_x
_atom_site_fract_y
_atom_site_fract_z
_atom_site_occupancy
Ba1 0.000 0.247 0.250 1
Dy1 0.000 0.500 0.000 1
Zn1 0.000 0.026 0.750 1
S1 0.000 0.131 0.568 1
S2 0.000 0.434 0.750 1
```